Entry 1:
# HfTl3Ni, relaxed, DFT PBE
data_HfTl3Ni
_symmetry_space_group_name_H-M 'P m -3 m'
_symmetry_Int_Tables_number 221
_symmetry_space_group_name_Hall '-P 4 2 3'
_cell_length_a 5.5949
_cell_length_b 5.5949
_cell_length_c 5.5949
_cell_angle_alpha 90.00
_cell_angle_beta 90.00
_cell_angle_gamma 90.00
loop_
_atom_site_label
_atom_site_type_symbol
_atom_site_fract_x
_atom_site_fract_y
_atom_site_fract_z
_atom_site_occupancy
Hf1 Hf 0.0000 0.0000 0.0000 1
Tl1 Tl 0.0000 0.0000 0.5000 1
Ni1 Ni 0.5000 0.5000 0.5000 1
# Energy of formation from the pure elements (eV/atom): 1.1869
# Calculated volume (Å³ per atom): 35.03

Entry 2:
# Hf3TlNi, relaxed, DFT PBE
data_Hf3TlNi
_symmetry_space_group_name_H-M 'P m -3 m'
_symmetry_Int_Tables_number 221
_symmetry_space_group_name_Hall '-P 4 2 3'
_cell_length_a 5.2247
_cell_length_b 5.2247
_cell_length_c 5.2247
_cell_angle_alpha 90.00
_cell_angle_beta 90.00
_cell_angle_gamma 90.00
loop_
_atom_site_label
_atom_site_type_symbol
_atom_site_fract_x
_atom_site_fract_y
_atom_site_fract_z
_atom_site_occupancy
Hf1 Hf 0.0000 0.0000 0.5000 1
Tl1 Tl 0.0000 0.0000 0.0000 1
Ni1 Ni 0.5000 0.5000 0.5000 1
# Energy of formation from the pure elements (eV/atom): 1.7717
# Calculated volume (Å³ per atom): 28.52

Entry 3:
# Hf6TlNi6, relaxed, DFT PBE
data_Hf6TlNi6
_symmetry_space_group_name_H-M 'I m m m'
_symmetry_Int_Tables_number 71
_symmetry_space_group_name_Hall '-I 2 2'
_cell_length_a 5.1338
_cell_length_b 9.0579
_cell_length_c 9.2832
_cell_angle_alpha 90.00
_cell_angle_beta 90.00
_cell_angle_gamma 90.00
loop_
_atom_site_label
_atom_site_type_symbol
_atom_site_fract_x
_atom_site_fract_y
_atom_site_fract_z
_atom_site_occupancy
Hf1 Hf 0.0000 0.0000 0.1617 1
Hf2 Hf 0.0000 0.3205 0.0000 1
Hf3 Hf 0.0000 0.3440 0.5000 1
Tl1 Tl 0.0000 0.0000 0.5000 1
Ni1 Ni 0.0000 0.5000 0.2404 1
Ni2 Ni 0.2500 0.2500 0.2500 1
# Energy of formation from the pure elements (eV/atom): -0.2902
# Calculated volume (Å³ per atom): 16.60

Entry 4:
# Hf2TlNi, relaxed, DFT PBE
data_Hf2TlNi
_symmetry_space_group_name_H-M 'R -3 m'
_symmetry_Int_Tables_number 166
_symmetry_space_group_name_Hall '-R 3 2"'
_cell_length_a 3.4520
_cell_length_b 3.4520
_cell_length_c 24.5168
_cell_angle_alpha 90.00
_cell_angle_beta 90.00
_cell_angle_gamma 120.00
loop_
_atom_site_label
_atom_site_type_symbol
_atom_site_fract_x
_atom_site_fract_y
_atom_site_fract_z
_atom_site_occupancy
Hf1 Hf 0.0000 0.0000 0.2312 1
Tl1 Tl 0.0000 0.0000 0.0000 1
Ni1 Ni 0.0000 0.0000 0.5000 1
# Energy of formation from the pure elements (eV/atom): -0.0439
# Calculated volume (Å³ per atom): 21.08

Entry 5:
# HfTl3Ni, relaxed, DFT PBE
data_HfTl3Ni
_symmetry_space_group_name_H-M 'P m -3 m'
_symmetry_Int_Tables_number 221
_symmetry_space_group_name_Hall '-P 4 2 3'
_cell_length_a 4.9846
_cell_length_b 4.9846
_cell_length_c 4.9846
_cell_angle_alpha 90.00
_cell_angle_beta 90.00
_cell_angle_gamma 90.00
loop_
_atom_site_label
_atom_site_type_symbol
_atom_site_fract_x
_atom_site_fract_y
_atom_site_fract_z
_atom_site_occupancy
Hf1 Hf 0.0000 0.0000 0.0000 1
Tl1 Tl 0.0000 0.5000 0.5000 1
Ni1 Ni 0.5000 0.5000 0.5000 1
# Energy of formation from the pure elements (eV/atom): 0.5886
# Calculated volume (Å³ per atom): 24.77

Entry 6:
# HfTlNi2, relaxed, DFT PBE
data_HfTlNi2
_symmetry_space_group_name_H-M 'I -4 2 d'
_symmetry_Int_Tables_number 122
_symmetry_space_group_name_Hall 'I -4 2bw'
_cell_length_a 7.0816
_cell_length_b 7.0816
_cell_length_c 5.7516
_cell_angle_alpha 90.00
_cell_angle_beta 90.00
_cell_angle_gamma 90.00
loop_
_atom_site_label
_atom_site_type_symbol
_atom_site_fract_x
_atom_site_fract_y
_atom_site_fract_z
_atom_site_occupancy
Hf1 Hf 0.0000 0.0000 0.0000 1
Tl1 Tl 0.0000 0.0000 0.5000 1
Ni1 Ni 0.2340 0.2500 0.1250 1
# Energy of formation from the pure elements (eV/atom): 0.2815
# Calculated volume (Å³ per atom): 18.03

Entry 7:
# HfTlNi, relaxed, DFT PBE
data_HfTlNi
_symmetry_space_group_name_H-M 'P 62 2 2'
_symmetry_Int_Tables_number 180
_symmetry_space_group_name_Hall 'P 62 2 (0 0 4)'
_cell_length_a 6.2192
_cell_length_b 6.2192
_cell_length_c 11.0033
_cell_angle_alpha 90.00
_cell_angle_beta 90.00
_cell_angle_gamma 120.00
loop_
_atom_site_label
_atom_site_type_symbol
_atom_site_fract_x
_atom_site_fract_y
_atom_site_fract_z
_atom_site_occupancy
Hf1 Hf 0.0000 0.5000 0.3796 1
Tl1 Tl 0.0000 0.0000 0.1667 1
Tl2 Tl 0.0000 0.5000 0.6667 1
Ni1 Ni 0.2199 0.6099 0.1667 1
# Energy of formation from the pure elements (eV/atom): 0.0429
# Calculated volume (Å³ per atom): 20.48

Entry 8:
# Hf3TlNi, relaxed, DFT PBE
data_Hf3TlNi
_symmetry_space_group_name_H-M 'P m -3 m'
_symmetry_Int_Tables_number 221
_symmetry_space_group_name_Hall '-P 4 2 3'
_cell_length_a 4.8273
_cell_length_b 4.8273
_cell_length_c 4.8273
_cell_angle_alpha 90.00
_cell_angle_beta 90.00
_cell_angle_gamma 90.00
loop_
_atom_site_label
_atom_site_type_symbol
_atom_site_fract_x
_atom_site_fract_y
_atom_site_fract_z
_atom_site_occupancy
Hf1 Hf 0.0000 0.0000 0.5000 1
Tl1 Tl 0.5000 0.5000 0.5000 1
Ni1 Ni 0.0000 0.0000 0.0000 1
# Energy of formation from the pure elements (eV/atom): 0.1320
# Calculated volume (Å³ per atom): 22.50

Entry 9:
# Hf4TlNi, relaxed, DFT PBE
data_Hf4TlNi
_symmetry_space_group_name_H-M 'C 1 2/c 1'
_symmetry_Int_Tables_number 15
_cell_length_a 7.9763
_cell_length_b 12.4039
_cell_length_c 5.2848
_cell_angle_alpha 90.00
_cell_angle_beta 108.29
_cell_angle_gamma 90.00
loop_
_symmetry_equiv_pos_as_xyz
'x,y,z'
'-x,-y,-z'
'-x,y,-z+1/2'
'x,-y,z+1/2'
'x+1/2,y+1/2,z'
'-x+1/2,-y+1/2,-z'
'-x+1/2,y+1/2,-z+1/2'
'x+1/2,-y+1/2,z+1/2'
loop_
_atom_site_label
_atom_site_type_symbol
_atom_site_fract_x
_atom_site_fract_y
_atom_site_fract_z
_atom_site_occupancy
Hf1 Hf 0.1041 0.1858 0.0640 1
Hf2 Hf 0.2260 0.4132 0.3557 1
Tl1 Tl 0.0000 0.3884 0.7500 1
Ni1 Ni 0.0000 0.0039 0.7500 1
# Energy of formation from the pure elements (eV/atom): -0.0534
# Calculated volume (Å³ per atom): 20.69

Entry 10:
# Hf2TlNi, relaxed, DFT PBE
data_Hf2TlNi
_symmetry_space_group_name_H-M 'I -4 2 d'
_symmetry_Int_Tables_number 122
_symmetry_space_group_name_Hall 'I -4 2bw'
_cell_length_a 4.1341
_cell_length_b 4.1341
_cell_length_c 20.0073
_cell_angle_alpha 90.00
_cell_angle_beta 90.00
_cell_angle_gamma 90.00
loop_
_atom_site_label
_atom_site_type_symbol
_atom_site_fract_x
_atom_site_fract_y
_atom_site_fract_z
_atom_site_occupancy
Hf1 Hf 0.2458 0.2500 0.1250 1
Tl1 Tl 0.0000 0.0000 0.5000 1
Ni1 Ni 0.0000 0.0000 0.0000 1
# Energy of formation from the pure elements (eV/atom): 0.5497
# Calculated volume (Å³ per atom): 21.37

Entry 11:
# Hf4TlNi2, relaxed, DFT PBE
data_Hf4TlNi2
_symmetry_space_group_name_H-M 'R -3 m'
_symmetry_Int_Tables_number 166
_symmetry_space_group_name_Hall '-R 3 2"'
_cell_length_a 4.0411
_cell_length_b 4.0411
_cell_length_c 31.3634
_cell_angle_alpha 90.00
_cell_angle_beta 90.00
_cell_angle_gamma 120.00
loop_
_atom_site_label
_atom_site_type_symbol
_atom_site_fract_x
_atom_site_fract_y
_atom_site_fract_z
_atom_site_occupancy
Hf1 Hf 0.0000 0.0000 0.1022 1
Hf2 Hf 0.0000 0.0000 0.3008 1
Tl1 Tl 0.0000 0.0000 0.5000 1
Ni1 Ni 0.0000 0.0000 0.3980 1
# Energy of formation from the pure elements (eV/atom): 0.0399
# Calculated volume (Å³ per atom): 21.12

Entry 12:
# Tm3HfNi8, relaxed, DFT PBE
data_Tm3HfNi8
_symmetry_space_group_name_H-M 'R 3 m'
_symmetry_Int_Tables_number 160
_symmetry_space_group_name_Hall 'R 3 -2"'
_cell_length_a 4.9852
_cell_length_b 4.9852
_cell_length_c 24.4915
_cell_angle_alpha 90.00
_cell_angle_beta 90.00
_cell_angle_gamma 120.00
loop_
_atom_site_label
_atom_site_type_symbol
_atom_site_fract_x
_atom_site_fract_y
_atom_site_fract_z
_atom_site_occupancy
Tm1 Tm 0.0000 0.0000 0.0000 1
Tm2 Tm 0.0000 0.0000 0.1255 1
Tm3 Tm 0.0000 0.0000 0.5009 1
Hf1 Hf 0.0000 0.0000 0.6250 1
Ni1 Ni 0.0000 0.0000 0.3128 1
Ni2 Ni 0.0000 0.0000 0.8127 1
Ni3 Ni 0.0018 0.5009 0.5647 1
Ni4 Ni 0.1680 0.3361 0.3944 1
# Energy of formation from the pure elements (eV/atom): -0.4799
# Calculated volume (Å³ per atom): 14.64

> energy of formation from the pure elements of number 5 (HfTl3Ni)?

0.5886 eV/atom

> What is the formula in the seventh record?

HfTlNi

> Which value of energy of formation from the pure elements does entry 7 give?

0.0429 eV/atom